[1]
Computed, not measured: Be3GeMo after structural relaxation at the GGA-PBEsol level of DFT.

abc: 4.2952 4.2952 4.2952
angles: 90.00 90.00 90.00
Fractional positions:
Be 0.0000 0.5000 0.0000
Be 0.0000 0.0000 0.5000
Be 0.5000 0.0000 0.0000
Mo 0.0000 0.0000 0.0000
Ge 0.5000 0.5000 0.5000

## Properties
- Energy above the most stable polymorph in this dataset: 13.4 kJ per mole of atoms
- ΔE_f: 1.369 eV per atom
- Symmetry: No. 221

---

[2]
Computed, not measured: Be3GeMo after structural relaxation at the GGA-PBEsol level of DFT.

abc: 4.0535 4.0535 4.0535
angles: 90.00 90.00 90.00
Fractional positions:
Be 0.0000 0.5000 0.0000
Be 0.0000 0.0000 0.5000
Be 0.5000 0.0000 0.0000
Mo 0.5000 0.5000 0.5000
Ge 0.0000 0.0000 0.0000

## Properties
- Energy above the most stable polymorph in this dataset: 0.0 kJ per mole of atoms
- ΔE_f: 1.230 eV per atom
- Symmetry: No. 221

---

[3]
Computed, not measured: BeGeMo2W after structural relaxation at the GGA-PBEsol level of DFT.

abc: 4.2218 4.7074 4.7074
angles: 90.00 90.00 90.00
Fractional positions:
Be 0.5000 0.0000 0.0000
Mo 0.0000 0.0000 0.5000
Mo 0.0000 0.5000 0.0000
Ge 0.5000 0.5000 0.5000
W 0.0000 0.0000 0.0000

## Properties
- ΔE_f: 1.732 eV per atom
- Symmetry: No. 123

---

[4]
Computed, not measured: Be2NiGeN after structural relaxation at the GGA-PBEsol level of DFT.

abc: 3.2840 3.2840 4.9056
angles: 90.00 90.00 90.00
Fractional positions:
Ni 0.5000 0.5000 0.5000
Ge 0.0000 0.0000 0.5000
Be 0.0000 0.5000 0.0000
Be 0.5000 0.0000 0.0000
N 0.0000 0.0000 0.0000

## Properties
- Symmetry: No. 123
- Energy relative to the elements, uncorrected: -0.13 eV/atom

---

[5]
Computed, not measured: BeGeSeN2 after structural relaxation at the GGA-PBEsol level of DFT.

abc: 3.5503 3.5503 6.2027
angles: 90.00 90.00 90.00
Fractional positions:
Be 0.5000 0.5000 0.5000
Ge 0.0000 0.0000 0.0000
Se 0.0000 0.0000 0.5000
N 0.0000 0.5000 0.0000
N 0.5000 0.0000 0.0000

## Properties
- Symmetry: No. 123
- Energy relative to the elements, uncorrected: 1.08 eV/atom

---

[6]
Computed, not measured: NaBeGe3 after structural relaxation at the GGA-PBEsol level of DFT.

abc: 4.8927 4.8927 4.8927
angles: 90.00 90.00 90.00
Fractional positions:
Na 0.0000 0.0000 0.0000
Ge 0.0000 0.5000 0.0000
Ge 0.0000 0.0000 0.5000
Ge 0.5000 0.0000 0.0000
Be 0.5000 0.5000 0.5000

## Properties
- ΔE_f: 1.471 eV per atom
- Symmetry: No. 221

---

[7]
Computed, not measured: NaBe2Ge2 after structural relaxation at the GGA-PBEsol level of DFT.

abc: 3.8780 3.8780 5.7507
angles: 109.71 109.71 90.00
Fractional positions:
Na 0.0000 0.0000 0.0000
Ge 0.3775 0.3775 0.7551
Ge 0.6225 0.6225 0.2449
Be 0.2500 0.7500 0.5000
Be 0.7500 0.2500 0.5000

## Properties
- ΔE_f: 0.011 eV per atom
- Symmetry: No. 139

---

[8]
Computed, not measured: Be2GeO4 after structural relaxation at the GGA-PBEsol level of DFT.

abc: 7.8939 7.8939 7.8939
angles: 108.01 108.01 108.01
Fractional positions:
Be 0.8915 0.0690 0.2934
Be 0.7066 0.1085 0.9310
Be 0.6295 0.2216 0.3943
Be 0.9310 0.7066 0.1085
Be 0.6057 0.3705 0.7784
Be 0.7784 0.6057 0.3705
Be 0.2216 0.3943 0.6295
Be 0.3943 0.6295 0.2216
Be 0.0690 0.2934 0.8915
Be 0.3705 0.7784 0.6057
Be 0.2934 0.8915 0.0690
Be 0.1085 0.9310 0.7066
Ge 0.9634 0.5554 0.7308
Ge 0.2692 0.0366 0.4446
Ge 0.4446 0.2692 0.0366
Ge 0.5554 0.7308 0.9634
Ge 0.7308 0.9634 0.5554
Ge 0.0366 0.4446 0.2692
O 0.8356 0.1356 0.8065
O 0.7524 0.0890 0.4086
O 0.8644 0.1935 0.1644
O 0.9110 0.5914 0.2476
O 0.7891 0.4563 0.4791
O 0.4559 0.1258 0.1687
O 0.8313 0.5441 0.8742
O 0.5914 0.2476 0.9110
O 0.5209 0.2109 0.5437
O 0.5437 0.5209 0.2109
O 0.1935 0.1644 0.8644
O 0.8742 0.8313 0.5441
O 0.1258 0.1687 0.4559
O 0.8065 0.8356 0.1356
O 0.4563 0.4791 0.7891
O 0.4791 0.7891 0.4563
O 0.4086 0.7524 0.0890
O 0.1687 0.4559 0.1258
O 0.5441 0.8742 0.8313
O 0.2109 0.5437 0.5209
O 0.0890 0.4086 0.7524
O 0.1356 0.8065 0.8356
O 0.2476 0.9110 0.5914
O 0.1644 0.8644 0.1935

## Properties
- Symmetry: No. 148
- Energy relative to the elements, uncorrected: -2.33 eV/atom

---

[9]
Computed, not measured: Pr2Be2GeO7 after structural relaxation at the GGA-PBEsol level of DFT.

abc: 4.8983 7.5950 7.5950
angles: 90.00 90.00 90.00
Fractional positions:
Pr 0.5043 0.6593 0.8407
Pr 0.4957 0.1593 0.6593
Pr 0.4957 0.8407 0.3407
Pr 0.5043 0.3407 0.1593
Be 0.0407 0.3660 0.8660
Be 0.9593 0.8660 0.6340
Be 0.0407 0.6340 0.1340
Be 0.9593 0.1340 0.3660
Ge 0.0000 0.5000 0.5000
Ge 0.0000 0.0000 0.0000
O 0.7952 0.9227 0.8263
O 0.2048 0.1737 0.9227
O 0.2048 0.5773 0.3263
O 0.2048 0.4227 0.6737
O 0.7952 0.3263 0.4227
O 0.7952 0.6737 0.5773
O 0.8305 0.0000 0.5000
O 0.1695 0.5000 0.0000
O 0.2826 0.1419 0.3581
O 0.7174 0.6419 0.1419
O 0.7174 0.3581 0.8581
O 0.2826 0.8581 0.6419
O 0.7952 0.0773 0.1737
O 0.2048 0.8263 0.0773

## Properties
- Symmetry: No. 113
- Energy relative to the elements, uncorrected: -2.85 eV/atom

---

[10]
Computed, not measured: ScBeGeO2 after structural relaxation at the GGA-PBEsol level of DFT.

abc: 3.7655 3.7655 5.4393
angles: 90.00 90.00 90.00
Fractional positions:
Sc 0.0000 0.0000 0.5000
Be 0.5000 0.5000 0.5000
Ge 0.0000 0.0000 0.0000
O 0.0000 0.5000 0.0000
O 0.5000 0.0000 0.0000

## Properties
- Symmetry: No. 123
- Energy relative to the elements, uncorrected: 0.07 eV/atom

---

[11]
Computed, not measured: BeSi2GeO after structural relaxation at the GGA-PBEsol level of DFT.

abc: 4.0018 4.0018 4.3887
angles: 90.00 90.00 90.00
Fractional positions:
Be 0.5000 0.5000 0.5000
Ge 0.0000 0.0000 0.5000
Si 0.0000 0.5000 0.0000
Si 0.5000 0.0000 0.0000
O 0.0000 0.0000 0.0000

## Properties
- Symmetry: No. 123
- Energy relative to the elements, uncorrected: 0.31 eV/atom

---

[12]
Computed, not measured: Sm2Be2GeO7 after structural relaxation at the GGA-PBEsol level of DFT.

abc: 4.8341 7.4842 7.4842
angles: 90.00 90.00 90.00
Fractional positions:
Sm 0.5046 0.6587 0.8413
Sm 0.4954 0.1587 0.6587
Sm 0.4954 0.8413 0.3413
Sm 0.5046 0.3413 0.1587
Be 0.0439 0.3655 0.8655
Be 0.9561 0.8655 0.6345
Be 0.0439 0.6345 0.1345
Be 0.9561 0.1345 0.3655
Ge 0.0000 0.5000 0.5000
Ge 0.0000 0.0000 0.0000
O 0.7883 0.9209 0.8272
O 0.2117 0.1728 0.9209
O 0.2117 0.5791 0.3272
O 0.2117 0.4209 0.6728
O 0.7883 0.3272 0.4209
O 0.7883 0.6728 0.5791
O 0.8218 0.0000 0.5000
O 0.1782 0.5000 0.0000
O 0.2837 0.1418 0.3582
O 0.7163 0.6418 0.1418
O 0.7163 0.3582 0.8582
O 0.2837 0.8582 0.6418
O 0.7883 0.0791 0.1728
O 0.2117 0.8272 0.0791

## Properties
- Symmetry: No. 113
- Energy relative to the elements, uncorrected: -2.89 eV/atom

---

Number 1: calculated volume 79 Å³/cell. Number 2: calculated volume 67 Å³/cell. Number 3: calculated volume 94 Å³/cell. Number 4: calculated volume 53 Å³/cell. Number 5: calculated volume 78 Å³/cell. Number 6: calculated volume 117 Å³/cell. Number 7: calculated volume 76 Å³/cell. Number 8: calculated volume 398 Å³/cell. Number 9: calculated volume 283 Å³/cell. Number 10: calculated volume 77 Å³/cell. Number 11: calculated volume 70 Å³/cell. Number 12: calculated volume 271 Å³/cell.